# K3CrO4

K3CrO4 after structural relaxation (PBE+U, Alexandria).

Structure (CIF):
```
data_K3CrO4
_chemical_formula_sum 'K6 Cr2 O8'
_symmetry_space_group_name_H-M 'I -4 2 m'
_symmetry_Int_Tables_number 121
_symmetry_space_group_name_Hall 'I -4 2'
_cell_length_a 5.773
_cell_length_b 5.773
_cell_length_c 9.916
_cell_angle_alpha 90.00
_cell_angle_beta 90.00
_cell_angle_gamma 90.00
loop_
_atom_site_label
_atom_site_fract_x
_atom_site_fract_y
_atom_site_fract_z
K1 0.000 0.000 0.000
K2 0.000 0.500 0.250
Cr1 0.000 0.000 0.500
O1 0.179 0.179 0.405
```

Total energy (eV/atom): -5.4393